SrLiZnBi: relaxed, GGA-PBE.

Cell: 5.4023 5.4023 5.4023 Å, 60.00 60.00 60.00°
Last column: nearest neighbours and their distance in Å.
Sites, in units of the cell vectors:
Sr 0.7500 0.7500 0.7500  4 Bi 3.31, 4 Zn 3.31
Zn 0.0000 0.0000 0.0000  4 Sr 3.31, 4 Li 3.31
Bi 0.5000 0.5000 0.5000  4 Li 3.31, 4 Sr 3.31
Li 0.2500 0.2500 0.2500  4 Bi 3.31, 4 Zn 3.31

Values from the calculation:
The value obtained for the formation energy from the elements is -0.420 eV/atom. The total moment comes out at 0.000 μB/f.u. As for the space-group type: No. 216.

=====

SrReRh2: relaxed, GGA-PBE.

Cell: 4.5337 2.9164 5.7956 Å, 80.09 90.00 90.00°
Last column: nearest neighbours and their distance in Å.
Sites, in units of the cell vectors:
Re 0.5000 0.7502 0.8641  4 Rh 2.55-2.59
Rh 0.0000 0.0964 0.9426  2 Re 2.55, 2 Rh 2.85
Rh 0.5000 0.1203 0.2373  2 Re 2.58-2.59, 2 Rh 2.85
Sr 0.0000 0.5331 0.4560  6 Rh 2.89-3.14, 2 Sr 2.92

Values from the calculation:
The value obtained for the formation energy from the elements is 0.361 eV/atom. The total moment comes out at 0.000 μB/f.u. As for the space-group type: No. 6.

=====

NbGeP3: relaxed, GGA-PBE.

Cell: 4.8291 4.8291 4.8291 Å, 90.00 90.00 90.00°
Last column: nearest neighbours and their distance in Å.
Sites, in units of the cell vectors:
P 0.0000 0.5000 0.0000  2 Nb 2.41
P 0.0000 0.0000 0.5000  2 Nb 2.41
P 0.5000 0.0000 0.0000  2 Nb 2.41
Nb 0.0000 0.0000 0.0000  6 P 2.41
Ge 0.5000 0.5000 0.5000  12 P 3.41

Values from the calculation:
The value obtained for the formation energy from the elements is 0.517 eV/atom. The total moment comes out at 0.000 μB/f.u. As for the space-group type: No. 221.